<1>
Compound: TiAl2Cu2
Source: Alexandria via LeMat-Bulk
Functional: PBE-GGA
Structure: optimized geometry

Cell lengths 7.4647, 7.4647, 3.8651 Å; angles 90.00, 90.00, 159.08 degrees
With the nearest neighbours (Å) after each atom.
Positions (direct):
1 Ti 0.0000 0.0000 0.0000  2 Cu 2.62, 2 Ti 2.71, 8 Al 2.86
2 Al 0.3906 0.6094 0.5000  4 Cu 2.57, 2 Al 2.71, 4 Ti 2.86
3 Al 0.6094 0.3906 0.5000  4 Cu 2.57, 2 Al 2.71, 4 Ti 2.86
4 Cu 0.1786 0.8214 0.0000  4 Cu 2.50-2.71, 4 Al 2.57, 1 Ti 2.62
5 Cu 0.8214 0.1786 0.0000  4 Cu 2.50-2.71, 4 Al 2.57, 1 Ti 2.62

As for the density of states at the Fermi level: 0.749 states/eV per atom. As for the space group: Cmmm, No. 65.

***

<2>
Compound: TiAl2Cu2
Source: Alexandria via LeMat-Bulk
Functional: PBE-GGA
Structure: optimized geometry

Cell lengths 7.3251, 7.3251, 2.6491 Å; angles 90.00, 90.00, 90.00 degrees
With the nearest neighbours (Å) after each atom.
Positions (direct):
1 Ti 0.0000 0.0000 0.0000  2 Ti 2.65, 4 Al 2.85
2 Ti 0.5000 0.5000 0.0000  2 Ti 2.65, 4 Al 2.85
3 Al 0.1345 0.3655 0.0000  6 Cu 2.47-2.56, 2 Al 2.65
4 Al 0.3655 0.8655 0.0000  6 Cu 2.47-2.56, 2 Al 2.65
5 Al 0.6345 0.1345 0.0000  6 Cu 2.47-2.56, 2 Al 2.65
6 Al 0.8655 0.6345 0.0000  6 Cu 2.47-2.56, 2 Al 2.65
7 Cu 0.1638 0.6638 0.5000  6 Al 2.47-2.56, 2 Cu 2.65
8 Cu 0.3362 0.1638 0.5000  6 Al 2.47-2.56, 2 Cu 2.65
9 Cu 0.6638 0.8362 0.5000  6 Al 2.47-2.56, 2 Cu 2.65
10 Cu 0.8362 0.3362 0.5000  6 Al 2.47-2.56, 2 Cu 2.65

As for the density of states at the Fermi level: 0.620 states/eV per atom. As for the space group: P4/mbm, No. 127.

***

Relative energy of each structure, in kJ/mol of atoms: <1> 10.3; <2> 0.0.